1.
VASP calculation (PBE) on Tb2PrY2Ho after structural relaxation.

a b c (Å): 6.5603 17.8737 3.4196
angles (deg): 90.00 90.00 90.00
Closest atoms and distances in Å follow each position.
Positions (direct):
Tb 0.2182 0.1474 0.0000  1 Pr 3.22, 4 Y 3.33-3.43, 2 Tb 3.42, 2 Ho 3.45
Tb 0.2818 0.6474 0.5000  1 Pr 3.22, 4 Y 3.33-3.43, 2 Tb 3.42, 2 Ho 3.45
Tb 0.7182 0.3526 0.5000  1 Pr 3.22, 4 Y 3.33-3.43, 2 Tb 3.42, 2 Ho 3.45
Tb 0.7818 0.8526 0.0000  1 Pr 3.22, 4 Y 3.33-3.43, 2 Tb 3.42, 2 Ho 3.45
Pr 0.0000 0.5000 0.5000  2 Tb 3.22, 2 Pr 3.42
Pr 0.5000 0.0000 0.0000  2 Tb 3.22, 2 Pr 3.42
Y 0.2212 0.3139 0.5000  4 Tb 3.33-3.43, 2 Y 3.42, 1 Pr 3.63
Y 0.2788 0.8139 0.0000  4 Tb 3.33-3.43, 2 Y 3.42, 1 Pr 3.63
Y 0.7212 0.1861 0.0000  4 Tb 3.33-3.43, 2 Y 3.42, 1 Pr 3.63
Y 0.7788 0.6861 0.5000  4 Tb 3.33-3.43, 2 Y 3.42, 1 Pr 3.63
Ho 0.0000 0.0000 0.5000  2 Ho 3.42, 4 Tb 3.45, 4 Pr 3.70
Ho 0.5000 0.5000 0.0000  2 Ho 3.42, 4 Tb 3.45, 4 Pr 3.70

Values from the calculation:
DFT total energy   -4.99 eV/atom
Space group   No. 58
Fermi-level density of states   19.739 states/eV/cell
Size of the total moment   0.000 μB/cell

---

2.
VASP calculation (PBE) on Tb2Pr2Y6Ho after structural relaxation.

a b c (Å): 6.4690 6.4690 11.1115
angles (deg): 93.21 93.21 126.26
Closest atoms and distances in Å follow each position.
Positions (direct):
Tb 0.1824 0.8176 0.0000  2 Tb 3.31, 4 Y 3.37-3.63, 3 Ho 3.60-3.67
Tb 0.8176 0.1824 0.0000  2 Tb 3.31, 4 Y 3.37-3.63, 3 Ho 3.60-3.67
Pr 0.1389 0.8611 0.5000  1 Pr 3.21, 4 Y 3.40-3.41
Pr 0.8611 0.1389 0.5000  1 Pr 3.21, 4 Y 3.40-3.41
Y 0.0792 0.0792 0.7720  1 Ho 3.31, 2 Tb 3.37, 2 Pr 3.40, 4 Y 3.47-3.51
Y 0.2779 0.5944 0.2757  2 Pr 3.41-3.79, 5 Y 3.47-3.65, 1 Ho 3.63, 2 Tb 3.63-3.75
Y 0.4056 0.7221 0.7243  2 Pr 3.41-3.79, 5 Y 3.47-3.65, 1 Ho 3.63, 2 Tb 3.63-3.75
Y 0.5944 0.2779 0.2757  2 Pr 3.41-3.79, 5 Y 3.47-3.65, 1 Ho 3.63, 2 Tb 3.63-3.75
Y 0.7221 0.4056 0.7243  2 Pr 3.41-3.79, 5 Y 3.47-3.65, 1 Ho 3.63, 2 Tb 3.63-3.75
Y 0.9208 0.9208 0.2280  1 Ho 3.31, 2 Tb 3.37, 2 Pr 3.40, 4 Y 3.47-3.51
Ho 0.5000 0.5000 0.0000  6 Y 3.31-3.63, 6 Tb 3.60-3.67

Values from the calculation:
DFT total energy   -5.50 eV/atom
Space group   No. 12
Fermi-level density of states   17.500 states/eV/cell
Size of the total moment   0.000 μB/cell

---

3.
VASP calculation (PBE) on Tb6Pr3YHo2 after structural relaxation.

a b c (Å): 6.2333 6.2333 11.9051
angles (deg): 95.00 95.00 120.01
Closest atoms and distances in Å follow each position.
Positions (direct):
Tb 0.0836 0.4178 0.7546  2 Ho 3.55, 1 Y 3.55, 6 Tb 3.59-3.61, 3 Pr 3.63-3.64
Tb 0.2480 0.2480 0.2454  2 Ho 3.55, 1 Y 3.55, 6 Tb 3.59-3.61, 3 Pr 3.63-3.64
Tb 0.4178 0.0836 0.7546  2 Ho 3.55, 1 Y 3.55, 6 Tb 3.59-3.61, 3 Pr 3.63-3.64
Tb 0.5821 0.9164 0.2454  2 Ho 3.55, 1 Y 3.55, 6 Tb 3.59-3.61, 3 Pr 3.63-3.64
Tb 0.7520 0.7520 0.7546  2 Ho 3.55, 1 Y 3.55, 6 Tb 3.59-3.61, 3 Pr 3.63-3.64
Tb 0.9164 0.5821 0.2454  2 Ho 3.55, 1 Y 3.55, 6 Tb 3.59-3.61, 3 Pr 3.63-3.64
Pr 0.0000 0.0000 0.5000  6 Pr 3.60, 6 Tb 3.63-3.64
Pr 0.3333 0.6667 0.5000  6 Pr 3.60, 6 Tb 3.63-3.64
Pr 0.6667 0.3333 0.5000  6 Pr 3.60, 6 Tb 3.63-3.64
Y 0.5000 0.5000 0.0000  6 Tb 3.55, 6 Ho 3.60
Ho 0.1666 0.8334 0.0000  6 Tb 3.55, 3 Ho 3.60, 3 Y 3.60
Ho 0.8334 0.1666 0.0000  6 Tb 3.55, 3 Ho 3.60, 3 Y 3.60

Values from the calculation:
DFT total energy   -4.79 eV/atom
Space group   No. 12
Fermi-level density of states   16.257 states/eV/cell
Size of the total moment   0.000 μB/cell

---

4.
VASP calculation (PBE) on TbPr2Y5Ho after structural relaxation.

a b c (Å): 10.0096 10.0096 10.0096
angles (deg): 128.63 128.63 75.61
Closest atoms and distances in Å follow each position.
Positions (direct):
Tb 0.2500 0.2500 0.0000  10 Y 3.56-3.95
Tb 0.7500 0.7500 0.0000  10 Y 3.56-3.95
Pr 0.1181 0.6181 0.7362  1 Pr 2.90, 2 Y 3.05
Pr 0.3819 0.1181 0.5000  1 Pr 2.90, 2 Y 3.05
Pr 0.6181 0.8819 0.5000  1 Pr 2.90, 2 Y 3.05
Pr 0.8819 0.3819 0.2638  1 Pr 2.90, 2 Y 3.05
Y 0.0000 0.0000 0.0000  4 Pr 3.47, 8 Y 3.81
Y 0.0715 0.1481 0.5000  1 Pr 3.05, 1 Ho 3.13
Y 0.1481 0.6481 0.0766  1 Pr 3.05, 1 Ho 3.13
Y 0.3519 0.4285 0.5000  1 Pr 3.05, 1 Ho 3.13
Y 0.4285 0.9285 0.0766  1 Pr 3.05, 1 Ho 3.13
Y 0.5000 0.5000 0.0000  4 Pr 3.47, 8 Y 3.81
Y 0.5715 0.0715 0.9234  1 Pr 3.05, 1 Ho 3.13
Y 0.6481 0.5715 0.5000  1 Pr 3.05, 1 Ho 3.13
Y 0.8519 0.3519 0.9234  1 Pr 3.05, 1 Ho 3.13
Y 0.9285 0.8519 0.5000  1 Pr 3.05, 1 Ho 3.13
Ho 0.2500 0.7500 0.5000  4 Y 3.13
Ho 0.7500 0.2500 0.5000  4 Y 3.13

Values from the calculation:
DFT total energy   -5.42 eV/atom
Space group   No. 140
Fermi-level density of states   23.490 states/eV/cell
Size of the total moment   0.000 μB/cell

---

5.
VASP calculation (PBE) on TbPr2Y2Ho4 after structural relaxation.

a b c (Å): 9.5460 9.5460 9.5948
angles (deg): 115.23 115.23 21.82
Closest atoms and distances in Å follow each position.
Positions (direct):
Tb 0.0000 0.0000 0.0000  6 Ho 3.56-3.57, 4 Pr 3.59, 2 Tb 3.61
Pr 0.3347 0.3347 0.9995  3 Ho 3.56-3.57, 2 Tb 3.59, 3 Y 3.60-3.61, 4 Pr 3.61-3.66
Pr 0.6653 0.6653 0.0005  3 Ho 3.56-3.57, 2 Tb 3.59, 3 Y 3.60-3.61, 4 Pr 3.61-3.66
Y 0.1464 0.1464 0.6616  7 Ho 3.49-3.63, 3 Pr 3.60-3.61, 2 Y 3.61
Y 0.8536 0.8536 0.3384  7 Ho 3.49-3.63, 3 Pr 3.60-3.61, 2 Y 3.61
Ho 0.1853 0.1853 0.3368  3 Y 3.49-3.63, 6 Ho 3.52-3.61, 1 Tb 3.57, 2 Pr 3.57
Ho 0.4806 0.4806 0.6654  4 Y 3.51-3.61, 5 Ho 3.55-3.61, 1 Pr 3.56, 2 Tb 3.56
Ho 0.5194 0.5194 0.3346  4 Y 3.51-3.61, 5 Ho 3.55-3.61, 1 Pr 3.56, 2 Tb 3.56
Ho 0.8147 0.8147 0.6632  3 Y 3.49-3.63, 6 Ho 3.52-3.61, 1 Tb 3.57, 2 Pr 3.57

Values from the calculation:
DFT total energy   -5.05 eV/atom
Space group   No. 12
Fermi-level density of states   12.411 states/eV/cell
Size of the total moment   0.000 μB/cell

---

6.
VASP calculation (PBE) on Tb2Pr4Y2Ho after structural relaxation.

a b c (Å): 8.1295 8.1295 8.0996
angles (deg): 107.52 107.52 36.81
Closest atoms and distances in Å follow each position.
Positions (direct):
Tb 0.1110 0.1110 0.1693  1 Ho 3.61, 3 Y 3.61-3.62, 7 Pr 3.61-3.66, 1 Tb 3.65
Tb 0.8890 0.8890 0.8307  1 Ho 3.61, 3 Y 3.61-3.62, 7 Pr 3.61-3.66, 1 Tb 3.65
Pr 0.2226 0.2226 0.8327  3 Y 3.62, 1 Ho 3.63, 5 Pr 3.63-3.65, 3 Tb 3.63-3.66
Pr 0.4459 0.4459 0.1684  2 Y 3.60-3.64, 4 Tb 3.61-3.65, 2 Ho 3.62, 4 Pr 3.62-3.65
Pr 0.5541 0.5541 0.8316  2 Y 3.60-3.64, 4 Tb 3.61-3.65, 2 Ho 3.62, 4 Pr 3.62-3.65
Pr 0.7774 0.7774 0.1673  3 Y 3.62, 1 Ho 3.63, 5 Pr 3.63-3.65, 3 Tb 3.63-3.66
Y 0.3333 0.3333 0.5005  5 Pr 3.60-3.64, 3 Tb 3.61-3.62, 2 Y 3.63, 2 Ho 3.63
Y 0.6667 0.6667 0.4995  5 Pr 3.60-3.64, 3 Tb 3.61-3.62, 2 Y 3.63, 2 Ho 3.63
Ho 0.0000 0.0000 0.5000  2 Tb 3.61, 6 Pr 3.62-3.63, 4 Y 3.63

Values from the calculation:
DFT total energy   -5.08 eV/atom
Space group   No. 12
Fermi-level density of states   14.142 states/eV/cell
Size of the total moment   0.000 μB/cell

---

7.
VASP calculation (PBE) on TbPr5Y2Ho after structural relaxation.

a b c (Å): 10.3505 10.3505 10.3505
angles (deg): 130.29 130.29 72.94
Closest atoms and distances in Å follow each position.
Positions (direct):
Tb 0.2500 0.7500 0.5000  4 Pr 3.13
Tb 0.7500 0.2500 0.5000  4 Pr 3.13
Pr 0.0000 0.0000 0.0000  4 Y 3.46
Pr 0.0666 0.5666 0.9186  1 Tb 3.13, 1 Y 3.16
Pr 0.1480 0.0666 0.5000  1 Tb 3.13, 1 Y 3.16
Pr 0.3520 0.8520 0.9186  1 Tb 3.13, 1 Y 3.16
Pr 0.4334 0.3520 0.5000  1 Tb 3.13, 1 Y 3.16
Pr 0.5000 0.5000 0.0000  4 Y 3.46
Pr 0.5666 0.6480 0.5000  1 Tb 3.13, 1 Y 3.16
Pr 0.6480 0.1480 0.0814  1 Tb 3.13, 1 Y 3.16
Pr 0.8520 0.9334 0.5000  1 Tb 3.13, 1 Y 3.16
Pr 0.9334 0.4334 0.0814  1 Tb 3.13, 1 Y 3.16
Y 0.1218 0.3782 0.5000  1 Y 3.00, 2 Pr 3.16
Y 0.3782 0.8782 0.2564  1 Y 3.00, 2 Pr 3.16
Y 0.6218 0.1218 0.7436  1 Y 3.00, 2 Pr 3.16
Y 0.8782 0.6218 0.5000  1 Y 3.00, 2 Pr 3.16
Ho 0.2500 0.2500 0.0000  8 Pr 3.59
Ho 0.7500 0.7500 0.0000  8 Pr 3.59

Values from the calculation:
DFT total energy   -4.81 eV/atom
Space group   No. 140
Fermi-level density of states   30.483 states/eV/cell
Size of the total moment   0.000 μB/cell

---

8.
VASP calculation (PBE) on Tb2PrY5Ho after structural relaxation.

a b c (Å): 9.7729 9.7729 9.7729
angles (deg): 125.65 125.65 80.47
Closest atoms and distances in Å follow each position.
Positions (direct):
Tb 0.1132 0.6132 0.7263  1 Tb 2.86, 2 Y 3.03
Tb 0.3868 0.1132 0.5000  1 Tb 2.86, 2 Y 3.03
Tb 0.6132 0.8868 0.5000  1 Tb 2.86, 2 Y 3.03
Tb 0.8868 0.3868 0.2737  1 Tb 2.86, 2 Y 3.03
Pr 0.2500 0.2500 0.0000  10 Y 3.65-3.73
Pr 0.7500 0.7500 0.0000  10 Y 3.65-3.73
Y 0.0000 0.0000 0.0000  4 Tb 3.60, 2 Pr 3.73, 8 Y 3.77
Y 0.0727 0.1614 0.5000  1 Tb 3.03, 1 Ho 3.13
Y 0.1614 0.6614 0.0887  1 Tb 3.03, 1 Ho 3.13
Y 0.3386 0.4273 0.5000  1 Tb 3.03, 1 Ho 3.13
Y 0.4273 0.9273 0.0887  1 Tb 3.03, 1 Ho 3.13
Y 0.5000 0.5000 0.0000  4 Tb 3.60, 2 Pr 3.73, 8 Y 3.77
Y 0.5727 0.0727 0.9113  1 Tb 3.03, 1 Ho 3.13
Y 0.6614 0.5727 0.5000  1 Tb 3.03, 1 Ho 3.13
Y 0.8386 0.3386 0.9113  1 Tb 3.03, 1 Ho 3.13
Y 0.9273 0.8386 0.5000  1 Tb 3.03, 1 Ho 3.13
Ho 0.2500 0.7500 0.5000  4 Y 3.13
Ho 0.7500 0.2500 0.5000  4 Y 3.13

Values from the calculation:
DFT total energy   -5.39 eV/atom
Space group   No. 140
Fermi-level density of states   23.014 states/eV/cell
Size of the total moment   0.000 μB/cell

---

9.
VASP calculation (PBE) on Tb3Pr6Y2Ho after structural relaxation.

a b c (Å): 6.3231 6.3231 11.9231
angles (deg): 95.06 95.06 120.00
Closest atoms and distances in Å follow each position.
Positions (direct):
Tb 0.0000 0.0000 0.0000  6 Pr 3.61-3.62, 6 Tb 3.65
Tb 0.3334 0.6666 0.0000  6 Pr 3.61-3.62, 6 Tb 3.65
Tb 0.6666 0.3334 0.0000  6 Pr 3.61-3.62, 6 Tb 3.65
Pr 0.0841 0.4166 0.2500  3 Tb 3.61-3.62, 1 Ho 3.61, 2 Y 3.61-3.62, 6 Pr 3.64-3.66
Pr 0.2510 0.2510 0.7500  1 Ho 3.61, 3 Tb 3.61-3.62, 2 Y 3.61, 6 Pr 3.64-3.66
Pr 0.4166 0.0841 0.2500  3 Tb 3.61-3.62, 1 Ho 3.61, 2 Y 3.61-3.62, 6 Pr 3.64-3.66
Pr 0.5834 0.9159 0.7500  3 Tb 3.61-3.62, 1 Ho 3.61, 2 Y 3.61-3.62, 6 Pr 3.64-3.66
Pr 0.7490 0.7490 0.2500  1 Ho 3.61, 3 Tb 3.61-3.62, 2 Y 3.61, 6 Pr 3.64-3.66
Pr 0.9159 0.5834 0.7500  3 Tb 3.61-3.62, 1 Ho 3.61, 2 Y 3.61-3.62, 6 Pr 3.64-3.66
Y 0.1667 0.8333 0.5000  6 Pr 3.61-3.62, 3 Y 3.65, 3 Ho 3.65
Y 0.8333 0.1667 0.5000  6 Pr 3.61-3.62, 3 Y 3.65, 3 Ho 3.65
Ho 0.5000 0.5000 0.5000  6 Pr 3.61, 6 Y 3.65

Values from the calculation:
DFT total energy   -5.00 eV/atom
Space group   No. 12
Fermi-level density of states   13.671 states/eV/cell
Size of the total moment   0.000 μB/cell

---

10.
VASP calculation (PBE) on Tb3PrY6Ho2 after structural relaxation.

a b c (Å): 6.1852 6.1852 11.8365
angles (deg): 94.98 94.98 119.95
Closest atoms and distances in Å follow each position.
Positions (direct):
Tb 0.0000 0.0000 0.0000  6 Y 3.56, 6 Tb 3.57
Tb 0.3330 0.6670 0.0000  6 Y 3.56-3.57, 6 Tb 3.57-3.58
Tb 0.6670 0.3330 0.0000  6 Y 3.56-3.57, 6 Tb 3.57-3.58
Pr 0.5000 0.5000 0.5000  6 Ho 3.57, 6 Y 3.58
Y 0.0817 0.4158 0.2491  3 Tb 3.56, 6 Y 3.57-3.58, 2 Ho 3.57-3.58, 1 Pr 3.58
Y 0.2499 0.2499 0.7508  3 Tb 3.56-3.57, 6 Y 3.57-3.58, 2 Ho 3.58, 1 Pr 3.58
Y 0.4158 0.0817 0.2491  3 Tb 3.56, 6 Y 3.57-3.58, 2 Ho 3.57-3.58, 1 Pr 3.58
Y 0.5842 0.9183 0.7509  3 Tb 3.56, 6 Y 3.57-3.58, 2 Ho 3.57-3.58, 1 Pr 3.58
Y 0.7501 0.7501 0.2492  3 Tb 3.56-3.57, 6 Y 3.57-3.58, 2 Ho 3.58, 1 Pr 3.58
Y 0.9183 0.5842 0.7509  3 Tb 3.56, 6 Y 3.57-3.58, 2 Ho 3.57-3.58, 1 Pr 3.58
Ho 0.1667 0.8333 0.5000  3 Ho 3.57, 3 Pr 3.57, 6 Y 3.57-3.58
Ho 0.8333 0.1667 0.5000  3 Ho 3.57, 3 Pr 3.57, 6 Y 3.57-3.58

Values from the calculation:
DFT total energy   -5.53 eV/atom
Space group   No. 12
Fermi-level density of states   16.553 states/eV/cell
Size of the total moment   0.000 μB/cell

---

11.
VASP calculation (PBE) on TbPr3Y6Ho2 after structural relaxation.

a b c (Å): 6.2408 6.2408 11.8812
angles (deg): 95.01 95.01 119.98
Closest atoms and distances in Å follow each position.
Positions (direct):
Tb 0.0000 0.0000 0.0000  6 Y 3.55, 6 Ho 3.60
Pr 0.1668 0.8332 0.5000  6 Pr 3.60-3.61, 6 Y 3.63
Pr 0.5000 0.5000 0.5000  6 Pr 3.60, 6 Y 3.63
Pr 0.8332 0.1668 0.5000  6 Pr 3.60-3.61, 6 Y 3.63
Y 0.0820 0.4155 0.2457  2 Ho 3.55, 1 Tb 3.55, 6 Y 3.60-3.61, 3 Pr 3.63
Y 0.2515 0.2515 0.7542  1 Tb 3.55, 2 Ho 3.55, 6 Y 3.60-3.61, 3 Pr 3.63
Y 0.4155 0.0820 0.2457  2 Ho 3.55, 1 Tb 3.55, 6 Y 3.60-3.61, 3 Pr 3.63
Y 0.5845 0.9180 0.7543  2 Ho 3.55, 1 Tb 3.55, 6 Y 3.60-3.61, 3 Pr 3.63
Y 0.7485 0.7485 0.2458  1 Tb 3.55, 2 Ho 3.55, 6 Y 3.60-3.61, 3 Pr 3.63
Y 0.9180 0.5845 0.7543  2 Ho 3.55, 1 Tb 3.55, 6 Y 3.60-3.61, 3 Pr 3.63
Ho 0.3334 0.6666 0.0000  6 Y 3.55, 3 Ho 3.60, 3 Tb 3.60
Ho 0.6666 0.3334 0.0000  6 Y 3.55, 3 Ho 3.60, 3 Tb 3.60

Values from the calculation:
DFT total energy   -5.56 eV/atom
Space group   No. 12
Fermi-level density of states   16.680 states/eV/cell
Size of the total moment   0.000 μB/cell

---

12.
VASP calculation (PBE) on TbPr6YHo2 after structural relaxation.

a b c (Å): 9.0119 9.0119 9.7617
angles (deg): 94.09 94.09 117.83
Closest atoms and distances in Å follow each position.
Positions (direct):
Tb 0.0278 0.9722 0.7500  4 Ho 3.45, 6 Pr 3.62-3.86
Tb 0.9722 0.0278 0.2500  4 Ho 3.45, 6 Pr 3.62-3.86
Pr 0.0109 0.5641 0.6862  3 Pr 3.32-3.70, 1 Y 3.50, 1 Ho 3.52, 1 Tb 3.62
Pr 0.1139 0.7612 0.0541  7 Pr 3.47-3.84, 1 Ho 3.51, 2 Tb 3.69-3.86
Pr 0.2388 0.8861 0.4459  7 Pr 3.47-3.84, 1 Ho 3.51, 2 Tb 3.69-3.86
Pr 0.2940 0.5090 0.8809  3 Pr 3.32-3.47, 3 Ho 3.32-3.51, 2 Y 3.48-3.60
Pr 0.4359 0.9891 0.8138  3 Pr 3.32-3.70, 1 Y 3.50, 1 Ho 3.52, 1 Tb 3.62
Pr 0.4910 0.7060 0.6191  3 Pr 3.32-3.47, 3 Ho 3.32-3.51, 2 Y 3.48-3.60
Pr 0.5090 0.2940 0.3809  3 Pr 3.32-3.47, 3 Ho 3.32-3.51, 2 Y 3.48-3.60
Pr 0.5641 0.0109 0.1862  3 Pr 3.32-3.70, 1 Y 3.50, 1 Ho 3.52, 1 Tb 3.62
Pr 0.7060 0.4910 0.1191  3 Pr 3.32-3.47, 3 Ho 3.32-3.51, 2 Y 3.48-3.60
Pr 0.7612 0.1139 0.5541  7 Pr 3.47-3.84, 1 Ho 3.51, 2 Tb 3.69-3.86
Pr 0.8861 0.2388 0.9459  7 Pr 3.47-3.84, 1 Ho 3.51, 2 Tb 3.69-3.86
Pr 0.9891 0.4359 0.3138  3 Pr 3.32-3.70, 1 Y 3.50, 1 Ho 3.52, 1 Tb 3.62
Y 0.4098 0.5902 0.2500  6 Pr 3.48-3.60, 2 Ho 3.57
Y 0.5902 0.4098 0.7500  6 Pr 3.48-3.60, 2 Ho 3.57
Ho 0.1993 0.2953 0.5459  5 Pr 3.32-3.52, 2 Tb 3.45, 1 Y 3.57
Ho 0.2953 0.1993 0.0459  5 Pr 3.32-3.52, 2 Tb 3.45, 1 Y 3.57
Ho 0.7047 0.8007 0.9541  5 Pr 3.32-3.52, 2 Tb 3.45, 1 Y 3.57
Ho 0.8007 0.7047 0.4541  5 Pr 3.32-3.52, 2 Tb 3.45, 1 Y 3.57

Values from the calculation:
DFT total energy   -4.78 eV/atom
Space group   No. 15
Fermi-level density of states   29.488 states/eV/cell
Size of the total moment   0.000 μB/cell